## P
AcLa2Sb | GGA-PBE | optimized geometry

space-group type: Fm-3m

Lattice parameters (Å, degrees): 5.7505 5.7505 5.7505 60.00 60.00 60.00
Element x y z (fractional)
Sb1 0.5000 0.5000 0.5000
Ac1 0.0000 0.0000 0.0000
La1 0.2500 0.2500 0.2500
La2 0.7500 0.7500 0.7500



## Q
AcLa2Sb | GGA-PBE | optimized geometry

space-group type: R3m

Lattice parameters (Å, degrees): 4.2609 4.2609 10.3898 78.17 78.17 60.00
Site moments in Bohr magnetons follow the coordinates.
Element x y z (fractional)
Ac1 0.5002 0.5002 0.4994  0.01
La1 0.0659 0.0659 0.8024  0.07
La2 0.2674 0.2674 0.1977  -0.04
Sb1 0.6665 0.6665 0.0004  0.00



Computed stability ranking, most favorable first: Q, P



## P
AcLa2Sb | GGA-PBE | optimized geometry

space-group type: R-3m

Lattice parameters (Å, degrees): 4.1486 4.1486 11.6656 79.76 79.76 60.00
Site moments in Bohr magnetons follow the coordinates.
Element x y z (fractional)
Sb1 0.5000 0.5000 0.5000  0.00
Ac1 0.0000 0.0000 0.0000  0.16
La1 0.1082 0.1082 0.6753  0.06
La2 0.8918 0.8918 0.3247  0.06



## Q
AcLa2Sb | GGA-PBE | optimized geometry

space-group type: P4/mmm

Lattice parameters (Å, degrees): 5.0802 5.1077 5.1077 90.00 90.00 90.00
Element x y z (fractional)
Sb1 0.5000 0.0000 0.0000
Ac1 0.5000 0.5000 0.5000
La1 0.0000 0.0000 0.5000
La2 0.0000 0.5000 0.0000



Computed stability ranking, most favorable first: Q, P



## P
AcLaSc2 | GGA-PBE | optimized geometry

space-group type: Fm-3m

Lattice parameters (Å, degrees): 5.6673 5.6673 5.6673 60.00 60.00 60.00
Element x y z (fractional)
Sc1 0.2500 0.2500 0.2500
Sc2 0.7500 0.7500 0.7500
Ac1 0.0000 0.0000 0.0000
La1 0.5000 0.5000 0.5000



## Q
AcLaSc2 | GGA-PBE | optimized geometry

space-group type: R-3m

Lattice parameters (Å, degrees): 3.6244 3.6244 11.3240 80.79 80.79 60.00
Element x y z (fractional)
Sc1 0.7486 0.7486 0.7541
Sc2 0.2514 0.2514 0.2459
Ac1 0.5000 0.5000 0.5000
La1 0.0000 0.0000 0.0000



Computed stability ranking, most favorable first: P, Q